! NbI2Cl5 PBE optimized geometry; values from VASP
&SYSTEM
  ibrav = 0, nat = 16, ntyp = 3
/
ATOMIC_SPECIES
Nb 92.91 Nb.upf
I 126.90 I.upf
Cl 35.45 Cl.upf
ATOMIC_POSITIONS angstrom
Nb 0.0000 0.0000 0.0000
Nb 5.5107 5.5140 2.9872
I 0.0000 5.5140 0.9941
I 0.0000 5.5140 3.9813
I 5.5107 0.0000 0.9941
I 5.5107 0.0000 3.9813
Cl 0.0000 0.0000 2.2524
Cl 1.5934 1.5933 5.3923
Cl 1.5934 9.4347 5.3923
Cl 3.9173 3.9207 2.4050
Cl 3.9173 7.1074 2.4050
Cl 5.5107 5.5140 5.2397
Cl 7.1042 3.9207 2.4050
Cl 7.1042 7.1074 2.4050
Cl 9.4280 1.5933 5.3923
Cl 9.4280 9.4347 5.3923
CELL_PARAMETERS angstrom
11.0215 0.0000 0.0000
0.0000 11.0281 0.0000
0.0000 0.0000 5.9745
! VASP energy: -3.6671 eV/atom

=====

! Mn4C PBE optimized geometry; values from VASP
&SYSTEM
  ibrav = 0, nat = 5, ntyp = 2
/
ATOMIC_SPECIES
Mn 54.94 Mn.upf
C 12.01 C.upf
ATOMIC_POSITIONS angstrom
Mn 0.0000 0.0000 0.0000
Mn 0.0000 1.8915 1.8915
Mn 1.8915 0.0000 1.8915
Mn 1.8915 1.8915 0.0000
C 1.8915 1.8915 1.8915
CELL_PARAMETERS angstrom
3.7831 0.0000 0.0000
0.0000 3.7831 0.0000
0.0000 0.0000 3.7831
! formation energy: 0.01 kcal/mol of atoms
! excess energy over the best structure of this formula in the dataset: 0 meV/atom

=====

! Se2ClF PBE optimized geometry; values from VASP
&SYSTEM
  ibrav = 0, nat = 16, ntyp = 3
/
ATOMIC_SPECIES
Se 78.96 Se.upf
Cl 35.45 Cl.upf
F 19.00 F.upf
ATOMIC_POSITIONS angstrom
Se 1.6329 1.6329 1.6329
Se 1.6329 1.6329 4.8988
Se 1.6329 4.8988 1.6329
Se 1.6329 4.8988 4.8988
Se 4.8988 1.6329 1.6329
Se 4.8988 1.6329 4.8988
Se 4.8988 4.8988 1.6329
Se 4.8988 4.8988 4.8988
Cl 0.0000 0.0000 0.0000
Cl 0.0000 3.2659 3.2659
Cl 3.2659 0.0000 3.2659
Cl 3.2659 3.2659 0.0000
F 0.0000 0.0000 3.2659
F 0.0000 3.2659 0.0000
F 3.2659 0.0000 0.0000
F 3.2659 3.2659 3.2659
CELL_PARAMETERS angstrom
6.5317 0.0000 0.0000
0.0000 6.5317 0.0000
0.0000 0.0000 6.5317
! excess energy over the best structure of this formula in the dataset: 896 meV/atom

=====

! LaDy2In2Hg2 PBE optimized geometry; values from VASP
&SYSTEM
  ibrav = 0, nat = 7, ntyp = 4
/
ATOMIC_SPECIES
La 138.91 La.upf
Dy 162.50 Dy.upf
In 114.82 In.upf
Hg 200.59 Hg.upf
ATOMIC_POSITIONS angstrom
La 0.0000 0.0000 0.0000
Dy 0.0000 0.0000 3.6221
Dy 0.0000 0.0000 23.5751
In 0.0000 0.0000 7.1870
In 0.0000 0.0000 20.0102
Hg 0.0000 0.0000 11.7549
Hg 0.0000 0.0000 15.4423
CELL_PARAMETERS angstrom
2.4890 1.4370 9.0657
-2.4890 1.4370 9.0657
0.0000 -2.8740 9.0657
! formation energy: -7.66 kcal/mol of atoms

=====

! TaZn5 PBE optimized geometry; values from VASP
&SYSTEM
  ibrav = 0, nat = 12, ntyp = 2
/
ATOMIC_SPECIES
Ta 180.95 Ta.upf
Zn 65.41 Zn.upf
ATOMIC_POSITIONS angstrom
Ta 0.0000 0.0000 0.0000
Ta 0.0000 1.3456 7.2802
Zn 0.0000 0.0000 4.7912
Zn 0.0000 0.0000 9.7580
Zn 0.0000 1.3456 2.4778
Zn 0.0000 1.3456 12.0714
Zn 2.3889 0.0000 1.6240
Zn 2.3889 0.0000 6.5158
Zn 2.3889 0.0000 11.3519
Zn 2.3889 1.3456 4.0717
Zn 2.3889 1.3456 8.9042
Zn 2.3889 1.3456 13.7960
CELL_PARAMETERS angstrom
4.7779 0.0000 0.0000
0.0000 2.6912 0.0000
0.0000 0.0000 14.5604
! formation energy: 1.71 kcal/mol of atoms

=====

! TcOs2Br PBE optimized geometry; values from VASP
&SYSTEM
  ibrav = 0, nat = 16, ntyp = 3
/
ATOMIC_SPECIES
Tc 98.00 Tc.upf
Os 190.23 Os.upf
Br 79.90 Br.upf
ATOMIC_POSITIONS angstrom
Tc 0.0000 0.0000 0.0000
Tc 0.0000 2.9873 2.4591
Tc 2.9873 0.0000 7.3773
Tc 2.9873 2.9873 4.9182
Os 1.3878 1.4936 1.2296
Os 1.4936 4.3751 3.6887
Os 1.4936 4.5867 8.6069
Os 1.5995 1.4936 6.1478
Os 4.3751 4.4809 6.1478
Os 4.4809 1.3878 8.6069
Os 4.4809 1.5995 3.6887
Os 4.5867 4.4809 1.2296
Br 0.0000 0.0000 4.9182
Br 0.0000 2.9873 7.3773
Br 2.9873 0.0000 2.4591
Br 2.9873 2.9873 0.0000
CELL_PARAMETERS angstrom
5.9746 0.0000 0.0000
0.0000 5.9746 0.0000
0.0000 0.0000 9.8364
! excess energy over the best structure of this formula in the dataset: 767 meV/atom